Compound: SmY8Tm2
Source: Alexandria via LeMat-Bulk
Functional: GGA-PBE
Structure: relaxed

a = 5.8898 Å, b = 9.0385 Å, c = 9.3287 Å
α = 61.02°, β = 74.15°, γ = 55.68°
Sites, in units of the cell vectors:
Y 0.5000 0.7945 0.4109
Y 0.1829 0.9015 0.7581
Y 0.8171 0.0985 0.2419
Y 0.8171 0.3405 0.7581
Y 0.1829 0.6595 0.2419
Y 0.2914 0.4321 0.0000
Y 0.7086 0.5679 0.0000
Y 0.5000 0.2055 0.5891
Sm 0.5000 0.0000 0.0000
Tm 0.0000 0.3089 0.3822
Tm 0.0000 0.6911 0.6178

Results
Formation energy: 0.162 eV/atom
DOS(E_F): 18.44 states/eV/f.u.
Calculated density: 5.6 g/cm3
ΔE to the lowest computed polymorph: 0 meV/atom
M_tot: 0.00 μB/cell